A plane-wave DFT calculation with PBE-GGA was carried out for a relaxed SbIrSe2 crystal.

Lattice parameters (Å, degrees): 6.5161 6.5161 6.5161 149.97 140.67 50.26
Closest atoms and distances in Å follow each position.
Atoms (fractional coordinates):
Ir1 0.5131 0.5131 0.0000  6 Se 2.54-2.78, 2 Sb 2.78
Sb1 0.3260 0.8260 0.5000  2 Ir 2.78, 2 Se 2.90
Se1 0.9866 0.9866 0.0000  4 Ir 2.78, 2 Sb 2.90, 2 Se 3.12
Se2 0.6742 0.1742 0.5000  2 Ir 2.54

- size of the total moment (μB/f.u.) = 0.000
- calculated volume (Å³ per cell) = 87
- space group = Imm2
- N(E_F) (states/eV/cell) = 2.30
- E (eV/cell) = -19.4